Material: Ba5Sr3Ca3
Method: DFT, GGA-PBE
State: relaxed

M_tot, μB/atom: 0.000
Density of states at the Fermi level, states/eV per atom: 1.665
Energy, eV per atom: -1.668
Space-group type: No. 189

Cell: 4.0843 13.5343 13.5343 Å, 120.00 90.00 90.00°
Last column: nearest neighbours and their distance in Å.
Element x y z (fractional)
Ba 0.5000 0.3333 0.6667  5 Ba 4.08-4.53
Ba 0.5000 0.6698 0.6698  2 Ca 3.87, 2 Ba 4.08, 2 Sr 4.25
Ba 0.5000 0.0000 0.3302  2 Ca 3.87, 2 Ba 4.08, 2 Sr 4.25
Ba 0.5000 0.6667 0.3333  5 Ba 4.08-4.53
Ba 0.5000 0.3302 0.0000  2 Ca 3.87, 2 Ba 4.08, 2 Sr 4.25
Sr 0.0000 0.3947 0.3947  2 Ca 3.84, 2 Sr 4.08, 2 Ba 4.25
Sr 0.0000 0.0000 0.6053  2 Ca 3.84, 2 Sr 4.08, 2 Ba 4.25
Sr 0.0000 0.6053 0.0000  2 Ca 3.84, 2 Sr 4.08, 2 Ba 4.25
Ca 0.5000 0.0000 0.8460  2 Ca 3.61, 2 Sr 3.84, 2 Ba 3.87
Ca 0.5000 0.8460 0.0000  2 Ca 3.61, 2 Sr 3.84, 2 Ba 3.87
Ca 0.5000 0.1540 0.1540  2 Ca 3.61, 2 Sr 3.84, 2 Ba 3.87